# 1
Here is a relaxed structure of TbPm2NdH from Alexandria. Energies are from GGA-PBE.

Unit cell a=5.0956 b=5.1208 c=5.1208 alpha=90.00 beta=90.00 gamma=90.00
With the nearest neighbours (Å) after each atom.
Atoms (fractional coordinates):
Nd1 0.5000 0.5000 0.5000  8 Pm 3.61, 4 Tb 3.62
H1 0.0000 0.0000 0.0000  2 Tb 2.55, 4 Pm 2.56
Tb1 0.5000 0.0000 0.0000  2 H 2.55
Pm1 0.0000 0.0000 0.5000  2 H 2.56
Pm2 0.0000 0.5000 0.0000  2 H 2.56

Its symmetry is P4/mmm, No. 123. As for the crystal system: tetragonal. The calculation puts the raw total energy at -4.6257 eV per atom.

# 2
Here is a relaxed structure of PmNd2TlH from Alexandria. Energies are from GGA-PBE.

Unit cell a=5.0206 b=5.0011 c=5.0011 alpha=90.00 beta=90.00 gamma=90.00
With the nearest neighbours (Å) after each atom.
Atoms (fractional coordinates):
Tl1 0.5000 0.5000 0.5000  4 Pm 3.54, 8 Nd 3.54
Nd1 0.0000 0.5000 0.0000  2 H 2.50
H1 0.0000 0.0000 0.0000  4 Nd 2.50, 2 Pm 2.51
Nd2 0.0000 0.0000 0.5000  2 H 2.50
Pm1 0.5000 0.0000 0.0000  2 H 2.51

Its symmetry is P4/mmm, No. 123. As for the crystal system: tetragonal. The calculation puts the raw total energy at -4.3062 eV per atom.

# 3
Here is a relaxed structure of Pm2Nd4Tl3H2 from Alexandria. Energies are from GGA-PBE.

Unit cell a=4.8816 b=4.8816 c=13.1783 alpha=100.67 beta=100.67 gamma=90.00
With the nearest neighbours (Å) after each atom.
Atoms (fractional coordinates):
Tl1 0.8254 0.8254 0.6507  5 Pm 3.20-3.51, 4 Nd 3.34
H1 0.3951 0.3951 0.7902  1 Pm 2.41, 4 Nd 2.49
Nd1 0.5851 0.0851 0.1702  2 H 2.49
H2 0.6049 0.6049 0.2098  1 Pm 2.41, 4 Nd 2.49
Pm1 0.6996 0.6996 0.3992  1 H 2.41
Tl2 0.0000 0.0000 0.0000  8 Nd 3.26
Pm2 0.3004 0.3004 0.6008  1 H 2.41
Nd2 0.0851 0.5851 0.1702  2 H 2.49
Nd3 0.4149 0.9149 0.8298  2 H 2.49
Nd4 0.9149 0.4149 0.8298  2 H 2.49
Tl3 0.1746 0.1746 0.3493  5 Pm 3.20-3.51, 4 Nd 3.34

Its symmetry is I4/mmm, No. 139. As for the crystal system: tetragonal. The calculation puts the raw total energy at -4.1416 eV per atom.

# 4
Here is a relaxed structure of PmNdTlH from Alexandria. Energies are from GGA-PBE.

Unit cell a=3.9145 b=3.9354 c=6.9118 alpha=106.55 beta=106.45 gamma=90.00
With the nearest neighbours (Å) after each atom.
Atoms (fractional coordinates):
Nd1 0.6692 0.1273 0.3385  2 H 2.33-2.34
Pm1 0.9726 0.4311 0.9453  2 H 2.31
H1 0.5699 0.5281 0.1398  2 Pm 2.31, 2 Nd 2.33-2.34
Tl1 0.3231 0.7814 0.6462  4 Pm 3.36, 4 Nd 3.39, 4 H 3.69-3.76

Its symmetry is Imm2, No. 44. As for the crystal system: orthorhombic. The calculation puts the raw total energy at -4.2487 eV per atom.

# 5
Here is a relaxed structure of Pm2NdTmH from Alexandria. Energies are from GGA-PBE.

Unit cell a=5.0473 b=5.1042 c=5.1042 alpha=90.00 beta=90.00 gamma=90.00
With the nearest neighbours (Å) after each atom.
Atoms (fractional coordinates):
H1 0.0000 0.0000 0.0000  2 Tm 2.52, 4 Pm 2.55
Tm1 0.5000 0.0000 0.0000  2 H 2.52
Pm1 0.0000 0.5000 0.0000  2 H 2.55
Pm2 0.0000 0.0000 0.5000  2 H 2.55
Nd1 0.5000 0.5000 0.5000  8 Pm 3.59, 4 Tm 3.61

Its symmetry is P4/mmm, No. 123. As for the crystal system: tetragonal. The calculation puts the raw total energy at -4.5907 eV per atom.

# 6
Here is a relaxed structure of PrNd3H8 from Alexandria. Energies are from GGA-PBE.

Unit cell a=5.4880 b=5.4880 c=5.4880 alpha=90.00 beta=90.00 gamma=90.00
With the nearest neighbours (Å) after each atom.
Atoms (fractional coordinates):
Nd1 0.5000 0.0000 0.5000  8 H 2.37
H1 0.7484 0.2516 0.2516  3 Nd 2.37, 1 Pr 2.39
Nd2 0.0000 0.5000 0.5000  8 H 2.37
Pr1 0.0000 0.0000 0.0000  8 H 2.39
Nd3 0.5000 0.5000 0.0000  8 H 2.37
H2 0.2516 0.2516 0.2516  3 Nd 2.37, 1 Pr 2.39
H3 0.2516 0.7484 0.2516  3 Nd 2.37, 1 Pr 2.39
H4 0.2516 0.2516 0.7484  3 Nd 2.37, 1 Pr 2.39
H5 0.7484 0.7484 0.2516  3 Nd 2.37, 1 Pr 2.39
H6 0.7484 0.2516 0.7484  3 Nd 2.37, 1 Pr 2.39
H7 0.2516 0.7484 0.7484  3 Nd 2.37, 1 Pr 2.39
H8 0.7484 0.7484 0.7484  3 Nd 2.37, 1 Pr 2.39

Its symmetry is Pm-3m, No. 221. As for the crystal system: cubic. The calculation puts the raw total energy at -4.4757 eV per atom.

# 7
Here is a relaxed structure of Pr2NdH from Alexandria. Energies are from GGA-PBE.

Unit cell a=4.1353 b=5.7102 c=5.7102 alpha=120.00 beta=90.00 gamma=90.00
With the nearest neighbours (Å) after each atom.
Atoms (fractional coordinates):
H1 0.0000 0.0000 0.0000  2 Nd 2.07
Pr1 0.0000 0.3333 0.6667  3 Pr 3.30, 3 H 3.30
Nd1 0.5000 0.0000 0.0000  2 H 2.07
Pr2 0.0000 0.6667 0.3333  3 Pr 3.30, 3 H 3.30

The value obtained for the energy above the most stable polymorph in this dataset is 116 kJ/mol of formula units. Its symmetry is P6/mmm, No. 191. As for the crystal system: hexagonal.

# 8
Here is a relaxed structure of Pr3NdH8 from Alexandria. Energies are from GGA-PBE.

Unit cell a=5.5192 b=5.5192 c=5.5192 alpha=90.00 beta=90.00 gamma=90.00
With the nearest neighbours (Å) after each atom.
Atoms (fractional coordinates):
Pr1 0.0000 0.5000 0.5000  8 H 2.40
H1 0.7516 0.2484 0.7516  1 Nd 2.37, 3 Pr 2.40
H2 0.7516 0.7516 0.7516  1 Nd 2.37, 3 Pr 2.40
Pr2 0.5000 0.5000 0.0000  8 H 2.40
H3 0.2484 0.2484 0.7516  1 Nd 2.37, 3 Pr 2.40
Nd1 0.0000 0.0000 0.0000  8 H 2.37
H4 0.7516 0.2484 0.2484  1 Nd 2.37, 3 Pr 2.40
Pr3 0.5000 0.0000 0.5000  8 H 2.40
H5 0.2484 0.7516 0.2484  1 Nd 2.37, 3 Pr 2.40
H6 0.2484 0.2484 0.2484  1 Nd 2.37, 3 Pr 2.40
H7 0.2484 0.7516 0.7516  1 Nd 2.37, 3 Pr 2.40
H8 0.7516 0.7516 0.2484  1 Nd 2.37, 3 Pr 2.40

Its symmetry is Pm-3m, No. 221. As for the crystal system: cubic. The calculation puts the raw total energy at -4.4698 eV per atom.